[1]
Zr2ScP after structural relaxation, computed with PBE.

Its total moment is 0.00 μB/f.u. The calculation puts the total energy at -7.85 eV/atom.

It has space group R3m (No. 160, hexagonal axes), with a = 3.5680 Å, b = 3.5680 Å, c = 24.1665 Å, α = 90.00°, β = 90.00° and γ = 120.00°. The asymmetric unit holds Zr at (0.0000, 0.0000, 0.0000), Zr at (0.0000, 0.0000, 0.2075), Sc at (0.0000, 0.0000, 0.7704) and P at (0.0000, 0.0000, 0.6034).

[2]
ZrSc2P after structural relaxation, computed with PBE.

Its total moment is 1.01 μB/f.u. The calculation puts the total energy at -7.21 eV/atom.

It has space group P4mm (No. 99), with a = 3.4621 Å, b = 3.4621 Å, c = 6.7409 Å, α = 90.00°, β = 90.00° and γ = 90.00°. The asymmetric unit holds Zr at (0.0000, 0.0000, 0.0000), Sc at (0.0000, 0.0000, 0.4156), Sc at (0.5000, 0.5000, 0.7211) and P at (0.5000, 0.5000, 0.1986).

[3]
Zr2ScP after structural relaxation, computed with PBE.

Its total moment is 0.00 μB/f.u. The calculation puts the total energy at -7.70 eV/atom.

It has space group Immm (No. 71), with a = 3.4183 Å, b = 4.8835 Å, c = 10.2467 Å, α = 90.00°, β = 90.00° and γ = 90.00°. The asymmetric unit holds Zr at (0.0000, 0.0000, 0.1855), Sc at (0.0000, 0.5000, 0.0000) and P at (0.0000, 0.5000, 0.5000).

[4]
Zr2ScP2 after structural relaxation, computed with PBE.

Its total moment is 0.00 μB/f.u. The calculation puts the total energy at -8.07 eV/atom.

It has space group P4/mbm (No. 127), with a = 7.0972 Å, b = 7.0972 Å, c = 3.5605 Å, α = 90.00°, β = 90.00° and γ = 90.00°. The asymmetric unit holds Zr at (0.1571, 0.3429, 0.0000), Sc at (0.0000, 0.0000, 0.5000) and P at (0.1411, 0.6411, 0.5000).

[5]
ZrSc2P after structural relaxation, computed with PBE.

Its total moment is 0.00 μB/f.u. The calculation puts the total energy at -7.25 eV/atom.

It has space group P4/mmm (No. 123), with a = 3.4031 Å, b = 3.4031 Å, c = 6.8759 Å, α = 90.00°, β = 90.00° and γ = 90.00°. The asymmetric unit holds Zr at (0.0000, 0.0000, 0.0000), Sc at (0.5000, 0.5000, 0.2940) and P at (0.0000, 0.0000, 0.5000).

[6]
ZrSc2P after structural relaxation, computed with PBE.

Its total moment is 0.00 μB/f.u. The calculation puts the total energy at -7.08 eV/atom.

It has space group I-4m2 (No. 119), with a = 4.0955 Å, b = 4.0955 Å, c = 9.2714 Å, α = 90.00°, β = 90.00° and γ = 90.00°. The asymmetric unit holds Zr at (0.0000, 0.0000, 0.0000), Sc at (0.0000, 0.0000, 0.5000), Sc at (0.0000, 0.5000, 0.2500) and P at (0.0000, 0.5000, 0.7500).